Density functional theory data (SCAN) for a PBEsol-optimized structure of Li9Mn2Co5O16.

ΔE to the lowest computed polymorph	0.0	meV/atom
SG	P1, No. 1
uncorrected formation energy	-2.036	eV/atom

Unit cell a=4.8614 b=5.6714 c=9.7681 alpha=89.29 beta=80.45 gamma=73.33
With the nearest neighbours (Å) after each atom.
Atoms (fractional coordinates):
O  0.7588  0.5389  0.6796  1 Mn 1.91, 2 Co 1.92-1.93, 3 Li 2.07-2.10
O  0.2514  0.4284  0.7980  1 Mn 1.84, 1 Co 1.91, 3 Li 2.02-2.06
O  0.2620  0.9109  0.3036  3 Co 1.90-1.91, 3 Li 2.07-2.12
O  0.2409  0.2089  0.5696  1 Mn 1.92, 2 Co 1.92-1.93, 3 Li 2.09-2.11
Li  0.5004  0.1226  0.3705  6 O 2.04-2.11
O  0.7547  0.8226  0.9514  1 Co 1.89, 1 Mn 1.89, 4 Li 2.01-2.06
Mn  0.4994  0.3703  0.6294  6 O 1.84-1.97
O  0.2450  0.1660  0.0650  1 Co 1.90, 1 Mn 1.90, 4 Li 1.97-2.06
Co  0.9999  0.2480  0.7511  6 O 1.90-1.93
O  0.7491  0.0842  0.6839  1 Mn 1.86, 1 Co 1.93, 4 Li 1.98-2.07
O  0.2368  0.4657  0.3224  3 Co 1.89-1.90, 2 Li 2.10
Co  0.9998  0.7509  0.2494  6 O 1.89-1.92
O  0.7767  0.2966  0.9329  1 Mn 1.87, 1 Co 1.90, 4 Li 1.98-2.06
Co  0.5002  0.6251  0.3743  6 O 1.89-1.91
Li  0.5000  0.1242  0.8768  6 O 2.01-2.04
O  0.2438  0.7112  0.0705  2 Co 1.90-1.92, 1 Mn 1.95, 3 Li 2.05-2.10
Mn  0.0004  0.0043  0.9963  6 O 1.87-1.96
Li  0.0110  0.4948  0.9952  6 O 1.98-2.17
Li  0.4934  0.3728  0.1175  6 O 2.03-2.18
O  0.7368  0.5926  0.1973  3 Co 1.89-1.90, 1 Li 2.09
O  0.7569  0.0415  0.1800  2 Co 1.91-1.92, 1 Mn 1.96, 3 Li 2.04-2.10
O  0.7397  0.3351  0.4437  2 Co 1.91-1.92, 1 Mn 1.97, 3 Li 2.08-2.11
Co  0.9999  0.4996  0.4997  6 O 1.89-1.92
Co  0.5002  0.8773  0.1239  6 O 1.89-1.91
O  0.2619  0.6636  0.5532  2 Co 1.91-1.92, 1 Mn 1.95, 2 Li 2.05-2.13
Li  0.5105  0.6246  0.8795  6 O 2.06-2.15
O  0.7627  0.7835  0.4279  3 Co 1.89-1.90, 2 Li 2.10-2.11
O  0.2238  0.9522  0.8187  1 Mn 1.87, 1 Co 1.90, 3 Li 1.98-2.02
Li  0.9974  0.2531  0.2488  6 O 1.97-2.12
Li  0.0035  0.9949  0.5002  6 O 1.98-2.11
Li  0.4956  0.8783  0.6346  6 O 2.02-2.19
Li  0.9875  0.7574  0.7552  6 O 1.98-2.17